Density functional theory data (PBE+U) for a geometry-optimized Rb2MoAsF6 structure.

## Properties
Volume ... 20.6 Å³ per atom
Uncorrected energy ... -0.173 Ha/atom

a = 6.0148 Å, b = 6.0148 Å, c = 11.4156 Å
α = 90.00°, β = 90.00°, γ = 90.00°
Space group I4/mmm (No. 139)
One atom of each set of equivalent atoms:
1 Rb 0.0000 0.5000 0.2500 [4 per cell]
2 Mo 0.0000 0.0000 0.0000 [2 per cell]
3 As 0.0000 0.0000 0.5000 [2 per cell]
4 F 0.0000 0.0000 0.1825 [4 per cell]
5 F 0.2467 0.2467 0.0000 [8 per cell]